Entry 1:
An optimized crystal structure of Si2Te. Source: Alexandria, functional PBE-GGA.

a = 5.858 Å, b = 5.858 Å, c = 5.858 Å
α = 126.10°, β = 126.10°, γ = 79.73°
Positions (direct):
Si 0.166 0.666 0.832
Si 0.666 0.834 0.500
Si 0.834 0.334 0.168
Si 0.334 0.166 0.500
Te 0.750 0.750 0.000
Te 0.250 0.250 0.000

Values from the calculation:
Crystal system ... tetragonal
Polymorph energy (0 for the lowest one) ... 0.485 eV/atom
Uncorrected formation energy ... 508 meV/atom


Entry 2:
An optimized crystal structure of Mn3NiPt4. Source: Alexandria, functional PBE-GGA.

a = 3.987 Å, b = 3.987 Å, c = 7.827 Å
α = 104.77°, β = 104.77°, γ = 89.99°
Site moments in Bohr magnetons follow the coordinates.
Positions (direct):
Pt 0.124 0.124 0.248  0.21
Pt 0.376 0.376 0.752  0.21
Pt 0.876 0.876 0.752  0.21
Pt 0.624 0.624 0.248  0.21
Mn 0.250 0.750 0.501  3.66
Mn 0.750 0.250 0.499  3.66
Mn 0.000 0.500 0.000  3.67
Ni 0.500 0.000 0.000  -0.17

Values from the calculation:
Crystal system ... tetragonal
Calculated formation energy ... -2.45 eV per formula unit